[1]
! MgTcBi2, optimized geometry, DFT GGA-PBE; values from VASP
&SYSTEM
  ibrav = 0, nat = 8, ntyp = 3
/
ATOMIC_SPECIES
Mg 24.30 Mg.upf
Bi 208.98 Bi.upf
Tc 98.00 Tc.upf
ATOMIC_POSITIONS angstrom
Mg 3.342 3.342 0.000
Mg 3.342 6.684 3.029
Bi 5.292 1.671 1.515
Bi 1.392 5.013 1.515
Bi 5.013 4.734 4.544
Bi 8.355 8.634 4.544
Tc 0.000 0.000 0.000
Tc 6.684 3.342 3.029
CELL_PARAMETERS angstrom
6.684 0.000 0.000
0.000 6.684 0.000
3.342 3.342 6.058
! * formation energy: 2.603 eV/f.u.
! * magnetic moment: 0.00 Bohr magnetons per cell
! * E: -0.31457 Ry per atom
! * SG: No. 122
! * DOS at the Fermi energy: 3.1 states/eV/f.u.


[2]
! Lu2ScPt, optimized geometry, DFT GGA-PBE; values from VASP
&SYSTEM
  ibrav = 0, nat = 4, ntyp = 3
/
ATOMIC_SPECIES
Sc 44.96 Sc.upf
Lu 174.97 Lu.upf
Pt 195.08 Pt.upf
ATOMIC_POSITIONS angstrom
Sc 1.743 1.743 3.886
Lu 0.000 0.000 6.150
Lu 0.000 0.000 1.622
Pt 1.743 1.743 0.000
CELL_PARAMETERS angstrom
3.486 0.000 0.000
0.000 3.486 0.000
0.000 0.000 7.772
! * formation energy: -2.499 eV/f.u.
! * magnetic moment: 0.01 Bohr magnetons per cell
! * E: -0.43940 Ry per atom
! * SG: No. 123
! * DOS at the Fermi energy: 5.4 states/eV/f.u.


[3]
! KHfHg2F, optimized geometry, DFT GGA-PBE; values from VASP
&SYSTEM
  ibrav = 0, nat = 5, ntyp = 4
/
ATOMIC_SPECIES
K 39.10 K.upf
Hf 178.49 Hf.upf
Hg 200.59 Hg.upf
F 19.00 F.upf
ATOMIC_POSITIONS angstrom
K 3.076 -2.028 1.687
Hf 0.000 0.000 0.000
Hg -1.794 -1.570 1.384
Hg -0.039 -1.798 -2.090
F 1.243 -5.396 0.982
CELL_PARAMETERS angstrom
-0.077 -3.595 -4.180
6.153 -4.055 3.375
-3.588 -3.141 2.768
! * formation energy from raw total energies: 0.20 eV/atom
! * magnetic moment: 2.05 Bohr magnetons per cell
! * E: -0.18416 Ry per atom
! * SG: No. 123
! * DOS at the Fermi energy: 5.0 states/eV/f.u.


[4]
! W3Cl, optimized geometry, DFT GGA-PBE; values from VASP
&SYSTEM
  ibrav = 0, nat = 4, ntyp = 2
/
ATOMIC_SPECIES
Cl 35.45 Cl.upf
W 183.84 W.upf
ATOMIC_POSITIONS angstrom
Cl 0.000 0.000 0.000
W 1.437 2.341 0.005
W -2.374 0.406 1.320
W 1.437 -1.933 1.320
CELL_PARAMETERS angstrom
5.247 0.002 0.005
-2.374 4.680 0.005
-2.374 -3.867 2.635
! * formation energy from raw total energies: 1.01 eV/atom
! * magnetic moment: 0.00 Bohr magnetons per cell
! * E above lowest polymorph: 0.435 eV/atom
! * E: -0.67387 Ry per atom
! * SG: No. 166
! * DOS at the Fermi energy: 3.5 states/eV/f.u.


[5]
! P2Ir2F, optimized geometry, DFT GGA-PBE; values from VASP
&SYSTEM
  ibrav = 0, nat = 5, ntyp = 3
/
ATOMIC_SPECIES
P 30.97 P.upf
Ir 192.22 Ir.upf
F 19.00 F.upf
ATOMIC_POSITIONS angstrom
P 3.927 1.963 2.600
P 1.963 3.927 2.600
Ir 1.963 1.963 1.393
Ir 3.927 3.927 3.807
F 0.000 0.000 0.000
CELL_PARAMETERS angstrom
3.927 0.000 0.000
0.000 3.927 0.000
1.963 1.963 5.200
! * formation energy from raw total energies: -0.28 eV/atom
! * magnetic moment: 0.00 Bohr magnetons per cell
! * E above lowest polymorph: 0.000 eV/atom
! * E: -0.46794 Ry per atom
! * SG: No. 139
! * DOS at the Fermi energy: 2.8 states/eV/f.u.


[6]
! TcAg3, optimized geometry, DFT GGA-PBE; values from VASP
&SYSTEM
  ibrav = 0, nat = 4, ntyp = 2
/
ATOMIC_SPECIES
Ag 107.87 Ag.upf
Tc 98.00 Tc.upf
ATOMIC_POSITIONS angstrom
Ag 0.000 0.000 0.035
Ag 0.000 0.000 4.726
Ag 0.977 1.305 7.143
Tc 0.977 1.305 2.381
CELL_PARAMETERS angstrom
2.721 0.000 0.000
-0.768 2.611 0.000
0.000 0.000 9.523
! * formation energy: 1.518 eV/f.u.
! * magnetic moment: 0.00 Bohr magnetons per cell
! * E above lowest polymorph: 0.068 eV/atom
! * E: -0.31974 Ry per atom
! * SG: No. 65
! * DOS at the Fermi energy: 2.3 states/eV/f.u.


[7]
! ZrNp4S6, optimized geometry, DFT GGA-PBE; values from VASP
&SYSTEM
  ibrav = 0, nat = 22, ntyp = 3
/
ATOMIC_SPECIES
Zr 91.22 Zr.upf
Np 237.00 Np.upf
S 32.06 S.upf
ATOMIC_POSITIONS angstrom
Zr 3.879 3.847 3.882
Zr 0.000 0.000 0.000
Np 2.846 1.010 1.941
Np 6.700 1.874 2.865
Np 1.914 4.857 1.052
Np 1.989 1.973 5.787
Np 5.769 5.721 1.976
Np 5.844 2.837 6.711
Np 1.058 5.820 4.899
Np 4.912 6.684 5.822
S 5.251 0.399 0.656
S 0.625 2.446 0.473
S 4.479 3.348 1.434
S 7.300 0.604 5.281
S 4.357 1.401 4.502
S 1.428 3.243 3.409
S 6.331 4.451 4.354
S 3.401 6.293 3.261
S 0.459 7.090 2.483
S 3.279 4.345 6.329
S 7.133 5.248 7.290
S 2.507 7.294 7.107
CELL_PARAMETERS angstrom
7.693 -0.099 0.035
-0.035 7.694 0.035
0.100 0.099 7.693
! * formation energy from raw total energies: -1.31 eV/atom
! * magnetic moment: 34.89 Bohr magnetons per cell
! * E: -0.66492 Ry per atom
! * SG: No. 167
! * DOS at the Fermi energy: 31.7 states/eV/f.u.


[8]
! Al4Bi3S12, optimized geometry, DFT GGA-PBE; values from VASP
&SYSTEM
  ibrav = 0, nat = 76, ntyp = 3
/
ATOMIC_SPECIES
Al 26.98 Al.upf
Bi 208.98 Bi.upf
S 32.06 S.upf
ATOMIC_POSITIONS angstrom
Al 2.530 2.622 16.257
Al 2.530 2.622 28.939
Al 2.530 2.622 19.266
Al 2.530 2.622 6.239
Al 2.530 2.622 35.914
Al 2.530 2.622 9.282
Al 2.530 -2.622 0.390
Al 2.530 -2.622 13.418
Al 2.530 -2.622 23.056
Al 2.530 -2.622 10.375
Al 2.530 -2.622 30.031
Al 2.530 -2.622 3.399
Al 2.530 2.622 25.896
Al 2.530 2.622 38.923
Al 2.530 -2.622 20.047
Al 2.530 -2.622 33.075
Bi 5.061 0.000 27.976
Bi 5.061 0.000 1.623
Bi 5.061 0.000 14.461
Bi 0.000 0.000 18.033
Bi 0.000 0.000 30.994
Bi 0.000 0.000 5.196
Bi 5.061 0.000 24.852
Bi 5.061 0.000 37.690
Bi 5.061 0.000 11.338
Bi 0.000 0.000 21.280
Bi 0.000 0.000 34.118
Bi 0.000 0.000 8.319
S 5.863 -2.580 17.846
S 5.711 -2.500 30.315
S 5.636 -2.649 5.214
S 7.471 0.582 24.020
S 7.768 0.633 38.464
S 7.688 0.884 11.772
S 5.863 2.580 21.467
S 5.636 2.649 34.100
S 5.711 2.500 8.998
S 7.688 -0.884 27.542
S 7.768 -0.633 0.849
S 7.471 -0.582 15.294
S 2.650 -0.582 24.020
S 2.353 -0.633 38.464
S 2.433 -0.884 11.772
S 4.258 2.580 17.846
S 4.410 2.500 30.315
S 4.485 2.649 5.214
S 5.636 -2.595 24.871
S 5.863 -2.664 37.503
S 5.711 -2.744 10.659
S 4.258 -2.580 21.467
S 4.485 -2.649 34.100
S 4.410 -2.500 8.998
S 4.410 -2.744 28.655
S 4.258 -2.664 1.811
S 4.485 -2.595 14.443
S 2.433 0.884 27.542
S 2.353 0.633 0.849
S 2.650 0.582 15.294
S 7.414 0.633 18.808
S 7.494 0.884 31.428
S 7.710 0.582 4.363
S 2.707 -0.633 18.808
S 2.627 -0.884 31.428
S 2.411 -0.582 4.363
S 4.485 2.595 24.871
S 4.258 2.664 37.503
S 4.410 2.744 10.659
S 2.707 0.633 20.506
S 2.411 0.582 34.951
S 2.627 0.884 7.885
S 7.414 -0.633 20.506
S 7.710 -0.582 34.951
S 7.494 -0.884 7.885
S 5.711 2.744 28.655
S 5.863 2.664 1.811
S 5.636 2.595 14.443
CELL_PARAMETERS angstrom
5.061 -5.244 0.000
5.061 5.244 0.000
0.000 0.000 39.314
! * formation energy from raw total energies: -0.49 eV/atom
! * magnetic moment: 0.00 Bohr magnetons per cell
! * E: -0.33083 Ry per atom
! * SG: No. 68
! * DOS at the Fermi energy: 0.4 states/eV/f.u.